# 1
Below is a relaxed Ca4TiMn3O12 crystal, with properties calculated at the PBEsol level.

Results
- final energy (eV/cell) = -639.5
- raw formation energy (eV per atom) = -2.537
- calculated density (g/cm3) = 4.50
- space-group type = Pm

Unit cell a=5.257 b=10.631 c=14.913 alpha=90.00 beta=90.00 gamma=90.00
Site moments in Bohr magnetons follow the coordinates.
Element x y z (fractional)
O  0.217  0.602  0.392  0.04
O  0.205  0.110  0.391  0.02
O  0.291  0.854  0.104  0.06
O  0.217  0.602  0.608  0.04
Ca  0.006  0.985  0.500  0.00
O  0.924  0.257  0.000  0.06
O  0.430  0.994  0.755  0.04
O  0.793  0.896  0.646  0.01
Mn  0.003  0.749  0.877  2.66
Ca  0.493  0.726  0.000  0.01
O  0.711  0.642  0.857  0.05
O  0.923  0.757  0.000  0.09
O  0.205  0.110  0.609  0.02
O  0.211  0.605  0.104  0.06
O  0.790  0.893  0.143  0.05
Ti  0.997  0.749  0.627  0.02
O  0.295  0.354  0.607  0.08
O  0.795  0.397  0.645  0.08
O  0.574  0.504  0.500  0.04
Ca  0.491  0.724  0.500  0.00
O  0.208  0.105  0.104  0.06
Mn  0.996  0.253  0.626  2.64
O  0.929  0.758  0.500  0.01
O  0.070  0.742  0.245  0.04
O  0.211  0.605  0.896  0.06
O  0.705  0.641  0.643  0.03
Ca  0.992  0.518  0.247  0.01
O  0.926  0.260  0.500  0.06
O  0.288  0.355  0.895  0.06
Ca  0.007  0.977  0.000  0.01
Ca  0.009  0.477  0.500  0.01
Ca  0.509  0.769  0.754  0.01
Ca  0.509  0.769  0.246  0.01
Ca  0.990  0.024  0.754  0.01
Ca  0.508  0.273  0.249  0.01
Ti  0.997  0.749  0.373  0.02
O  0.425  0.492  0.751  0.06
O  0.576  0.009  0.000  0.09
O  0.074  0.245  0.752  0.05
O  0.430  0.994  0.245  0.04
O  0.425  0.492  0.249  0.06
O  0.788  0.393  0.857  0.06
Mn  0.496  0.498  0.625  2.64
Mn  0.498  0.999  0.123  2.66
O  0.295  0.354  0.393  0.08
Ca  0.490  0.229  0.000  0.01
O  0.710  0.144  0.856  0.05
Mn  0.998  0.250  0.124  2.66
O  0.788  0.393  0.143  0.06
Ti  0.498  0.003  0.627  0.02
O  0.790  0.893  0.857  0.05
O  0.717  0.150  0.644  0.05
Ti  0.498  0.003  0.373  0.02
O  0.070  0.742  0.755  0.04
Ca  0.990  0.024  0.246  0.01
O  0.717  0.150  0.356  0.05
O  0.711  0.642  0.143  0.05
O  0.795  0.397  0.355  0.08
O  0.074  0.245  0.248  0.05
Mn  0.996  0.253  0.374  2.64
Mn  0.499  0.499  0.876  2.66
O  0.208  0.105  0.896  0.06
O  0.710  0.144  0.144  0.05
O  0.288  0.355  0.105  0.06
Mn  0.998  0.250  0.876  2.66
Ca  0.008  0.477  0.000  0.01
Ca  0.493  0.236  0.500  0.01
Mn  0.003  0.749  0.123  2.66
Mn  0.498  0.999  0.877  2.66
O  0.571  0.012  0.500  0.01
Mn  0.496  0.498  0.375  2.64
O  0.293  0.856  0.607  0.00
Ca  0.992  0.518  0.753  0.01
O  0.705  0.641  0.357  0.03
O  0.793  0.896  0.354  0.01
O  0.293  0.856  0.393  0.00
O  0.291  0.854  0.896  0.06
O  0.575  0.505  0.000  0.06
Mn  0.499  0.499  0.124  2.66
Ca  0.508  0.273  0.751  0.01


# 2
Below is a relaxed Ca2TiMnO6 crystal, with properties calculated at the PBEsol level.

Results
- final energy (eV/cell) = -81.4
- raw formation energy (eV per atom) = -2.758
- calculated density (g/cm3) = 4.37
- space-group type = I4/m

Unit cell a=5.272 b=5.336 c=5.272 alpha=60.39 beta=90.00 gamma=119.61
Site moments in Bohr magnetons follow the coordinates.
Element x y z (fractional)
O  0.308  0.000  0.800  0.04
Mn  0.500  0.000  0.500  2.60
Ca  0.250  0.500  0.250  0.01
O  0.800  0.000  0.692  0.04
Ti  0.000  0.000  0.000  0.01
O  0.692  0.000  0.200  0.04
O  0.254  0.508  0.746  0.04
Ca  0.750  0.500  0.750  0.01
O  0.200  0.000  0.308  0.04
O  0.746  0.492  0.254  0.04


# 3
Below is a relaxed Ca8Ti3Mn5O24 crystal, with properties calculated at the PBEsol level.

Results
- Fermi-level density of states (states/eV per cell) = 10.4
- final energy (eV/cell) = -320.2
- raw formation energy (eV per atom) = -2.585
- calculated density (g/cm3) = 4.36
- space-group type = P4/mmm

Unit cell a=7.511 b=7.548 c=7.548 alpha=90.00 beta=90.00 gamma=90.00
Site moments in Bohr magnetons follow the coordinates.
Element x y z (fractional)
O  0.000  0.500  0.255  0.03
O  0.749  0.500  0.500  0.06
O  0.256  0.000  0.000  0.04
O  0.000  0.255  0.500  0.03
Ca  0.257  0.252  0.748  0.01
O  0.000  0.500  0.745  0.03
O  0.500  0.250  0.000  0.07
Mn  0.000  0.500  0.500  2.52
O  0.500  0.000  0.750  0.07
Mn  0.500  0.500  0.500  2.64
Mn  0.500  0.000  0.500  2.58
O  0.000  0.749  0.000  0.02
Ca  0.257  0.748  0.748  0.01
O  0.500  0.500  0.250  0.07
O  0.000  0.745  0.500  0.03
Ca  0.743  0.252  0.252  0.01
O  0.000  0.000  0.251  0.02
O  0.000  0.000  0.749  0.02
Ca  0.743  0.252  0.748  0.01
Ca  0.257  0.748  0.252  0.01
O  0.500  0.750  0.500  0.07
Mn  0.500  0.000  0.000  2.56
O  0.744  0.000  0.500  0.04
O  0.500  0.500  0.750  0.07
Ti  0.000  0.000  0.000  0.02
O  0.256  0.500  0.000  0.04
Ca  0.743  0.748  0.748  0.01
Ti  0.000  0.000  0.500  0.01
Ca  0.743  0.748  0.252  0.01
Ca  0.257  0.252  0.252  0.01
O  0.500  0.750  0.000  0.07
O  0.000  0.251  0.000  0.02
Mn  0.500  0.500  0.000  2.58
Ti  0.000  0.500  0.000  0.01
O  0.256  0.000  0.500  0.04
O  0.500  0.000  0.250  0.07
O  0.251  0.500  0.500  0.06
O  0.744  0.500  0.000  0.04
O  0.744  0.000  0.000  0.04
O  0.500  0.250  0.500  0.07


# 4
Below is a relaxed Ca2TiMnO6 crystal, with properties calculated at the PBEsol level.

Results
- final energy (eV/cell) = -163.1
- raw formation energy (eV per atom) = -2.771
- calculated density (g/cm3) = 4.37
- space-group type = P2_1/c

Unit cell a=5.286 b=5.346 c=7.500 alpha=90.00 beta=89.89 gamma=90.00
Site moments in Bohr magnetons follow the coordinates.
Element x y z (fractional)
Ca  0.492  0.039  0.749  0.01
O  0.793  0.716  0.037  0.03
O  0.070  0.014  0.246  0.03
Ti  0.000  0.000  0.500  0.02
O  0.707  0.216  0.463  0.03
O  0.207  0.284  0.963  0.03
O  0.430  0.514  0.254  0.03
O  0.216  0.291  0.537  0.03
Ca  0.508  0.961  0.251  0.01
O  0.293  0.784  0.537  0.03
Mn  0.500  0.500  0.500  2.62
O  0.784  0.709  0.463  0.03
O  0.570  0.486  0.746  0.03
O  0.930  0.986  0.754  0.03
Ti  0.500  0.500  0.000  0.02
O  0.284  0.791  0.963  0.03
Ca  0.008  0.539  0.751  0.01
Ca  0.992  0.461  0.249  0.01
O  0.716  0.209  0.037  0.03
Mn  0.000  0.000  0.000  2.62


# 5
Below is a relaxed CaTmMn2O6 crystal, with properties calculated at the PBEsol level.

Results
- Fermi-level density of states (states/eV per cell) = 4.0
- final energy (eV/cell) = -166.9
- raw formation energy (eV per atom) = -2.540
- calculated density (g/cm3) = 6.61
- space-group type = Pmn2_1

Unit cell a=5.193 b=5.415 c=7.410 alpha=90.00 beta=90.00 gamma=90.00
Site moments in Bohr magnetons follow the coordinates.
Element x y z (fractional)
O  0.194  0.054  0.301  0.06
Mn  0.001  0.755  0.750  3.15
O  0.791  0.462  0.204  0.06
O  0.791  0.462  0.796  0.06
O  0.604  0.228  0.500  0.05
O  0.694  0.946  0.801  0.06
Mn  0.501  0.245  0.750  3.15
Mn  0.501  0.245  0.250  3.15
O  0.694  0.946  0.199  0.06
Ca  0.988  0.196  0.000  0.01
Ca  0.488  0.804  0.500  0.01
O  0.291  0.538  0.296  0.06
O  0.291  0.538  0.704  0.06
Mn  0.001  0.755  0.250  3.15
O  0.104  0.772  0.000  0.05
O  0.419  0.279  0.000  0.06
Tm  0.519  0.681  0.000  0.05
O  0.194  0.054  0.699  0.06
O  0.919  0.721  0.500  0.06
Tm  0.019  0.319  0.500  0.05


# 6
Below is a relaxed CaTmMn2O6 crystal, with properties calculated at the PBEsol level.

Results
- Fermi-level density of states (states/eV per cell) = 4.0
- final energy (eV/cell) = -167.0
- raw formation energy (eV per atom) = -2.543
- calculated density (g/cm3) = 6.60
- space-group type = Pmc2_1

Unit cell a=5.186 b=5.401 c=7.453 alpha=90.00 beta=90.00 gamma=90.00
Site moments in Bohr magnetons follow the coordinates.
Element x y z (fractional)
O  0.454  0.295  0.808  0.05
O  0.943  0.197  0.717  0.06
O  0.454  0.295  0.192  0.05
O  0.546  0.795  0.808  0.05
O  0.546  0.795  0.192  0.05
O  0.673  0.522  0.500  0.09
Mn  0.754  0.502  0.251  3.15
O  0.848  0.473  0.000  0.04
O  0.327  0.022  0.500  0.09
Mn  0.754  0.502  0.749  3.15
Mn  0.246  0.002  0.251  3.15
Ca  0.763  0.947  0.500  0.01
Tm  0.735  0.069  0.000  0.05
O  0.057  0.697  0.717  0.06
O  0.057  0.697  0.283  0.06
Ca  0.237  0.447  0.500  0.01
O  0.943  0.197  0.283  0.06
Mn  0.246  0.002  0.749  3.15
O  0.152  0.973  0.000  0.04
Tm  0.265  0.569  0.000  0.05


# 7
Below is a relaxed CaMn3V4O12 crystal, with properties calculated at the PBEsol level.

Results
- Fermi-level density of states (states/eV per cell) = 8.1
- final energy (eV/cell) = -176.7
- raw formation energy (eV per atom) = -2.189
- calculated density (g/cm3) = 5.05
- space-group type = Im-3

Unit cell a=6.354 b=6.354 c=6.354 alpha=109.47 beta=109.47 gamma=109.47
Site moments in Bohr magnetons follow the coordinates.
Element x y z (fractional)
V  0.000  0.500  0.000  1.42
O  0.876  0.694  0.181  0.01
O  0.181  0.487  0.306  0.01
Mn  0.000  0.500  0.500  3.92
Mn  0.500  0.000  0.500  3.92
V  0.000  0.000  0.500  1.42
O  0.694  0.181  0.876  0.01
O  0.306  0.181  0.487  0.01
Mn  0.500  0.500  0.000  3.92
V  0.500  0.500  0.500  1.42
O  0.513  0.694  0.819  0.01
O  0.306  0.819  0.124  0.01
O  0.819  0.513  0.694  0.01
O  0.819  0.124  0.306  0.01
O  0.694  0.819  0.513  0.01
O  0.487  0.306  0.181  0.01
Ca  0.000  0.000  0.000  0.02
V  0.500  0.000  0.000  1.42
O  0.124  0.306  0.819  0.01
O  0.181  0.876  0.694  0.01


# 8
Below is a relaxed Ca3Mn2W2O12 crystal, with properties calculated at the PBEsol level.

Results
- Fermi-level density of states (states/eV per cell) = 2.6
- final energy (eV/cell) = -161.7
- raw formation energy (eV per atom) = -2.375
- calculated density (g/cm3) = 5.91
- space-group type = P1

Unit cell a=5.394 b=5.504 c=7.488 alpha=89.32 beta=89.75 gamma=86.37
Site moments in Bohr magnetons follow the coordinates.
Element x y z (fractional)
O  0.212  0.809  0.530  0.06
O  0.423  0.024  0.249  0.03
O  0.713  0.716  0.055  0.04
O  0.774  0.192  0.461  0.06
Mn  0.499  0.990  0.001  3.48
W  0.499  0.988  0.510  0.12
O  0.580  0.969  0.752  0.01
O  0.091  0.514  0.251  0.04
O  0.930  0.492  0.746  0.02
Ca  0.520  0.449  0.249  0.01
Ca  0.996  0.953  0.249  0.00
Mn  0.007  0.499  0.497  3.42
O  0.174  0.794  0.969  0.06
W  0.007  0.502  0.987  0.13
O  0.285  0.282  0.959  0.02
O  0.717  0.712  0.448  0.02
Ca  0.000  0.049  0.746  0.00
O  0.281  0.276  0.540  0.04
O  0.806  0.234  0.047  0.06